Cs2NaBr: relaxed, PBE-GGA.

Cell: 9.1985 9.1985 9.1985 Å, 111.54 111.54 105.40°
With the nearest neighbours (Å) after each atom.
Sites, in units of the cell vectors:
Cs: 0.6911 0.6250 0.5661  2 Br 3.50
Cs: 0.8750 0.3089 0.9339  2 Br 3.50
Cs: 0.3750 0.9411 0.0661  2 Br 3.50
Cs: 0.0589 0.1250 0.4339  2 Br 3.50
Br: 0.0000 0.0000 0.0000  4 Cs 3.50
Br: 0.7500 0.2500 0.5000  4 Cs 3.50
Na: 0.2500 0.7500 0.5000  4 Cs 4.40
Na: 0.5000 0.5000 0.0000  4 Cs 4.40

Output
Formation energy without anion corrections   -0.771 eV per atom
Fermi-level density of states   0.54 states/eV per cell
E   -1.946 eV per atom


PmSc3Hg4: relaxed, PBE-GGA.

Cell: 5.0344 7.3651 10.0685 Å, 90.00 90.00 90.00°
With the nearest neighbours (Å) after each atom.
Sites, in units of the cell vectors:
Hg: 0.9998 0.2307 0.7500  6 Sc 3.04-3.20, 2 Pm 3.20, 1 Hg 3.40
Hg: 0.0002 0.7693 0.2500  6 Sc 3.04-3.20, 2 Pm 3.20, 1 Hg 3.40
Hg: 0.0002 0.2307 0.2500  6 Sc 3.04-3.20, 2 Pm 3.20, 1 Hg 3.40
Hg: 0.5000 0.2307 0.5000  6 Sc 3.04-3.20, 2 Pm 3.20, 1 Hg 3.40
Hg: 0.5000 0.2307 0.0000  6 Sc 3.04-3.20, 2 Pm 3.20, 1 Hg 3.40
Hg: 0.9998 0.7693 0.7500  6 Sc 3.04-3.20, 2 Pm 3.20, 1 Hg 3.40
Hg: 0.5000 0.7693 0.0000  6 Sc 3.04-3.20, 2 Pm 3.20, 1 Hg 3.40
Hg: 0.5000 0.7693 0.5000  6 Sc 3.04-3.20, 2 Pm 3.20, 1 Hg 3.40
Sc: 0.5003 0.0000 0.2500  8 Hg 3.04
Sc: 0.0000 0.0000 0.0000  8 Hg 3.04
Sc: 0.4997 0.0000 0.7500  8 Hg 3.04
Sc: 0.4999 0.5000 0.7500  8 Hg 3.20, 4 Pm 3.56
Sc: 0.0000 0.0000 0.5000  8 Hg 3.04
Sc: 0.5001 0.5000 0.2500  8 Hg 3.20, 4 Pm 3.56
Pm: 0.0000 0.5000 0.0000  8 Hg 3.20, 4 Sc 3.56
Pm: 0.0000 0.5000 0.5000  8 Hg 3.20, 4 Sc 3.56

Output
Fermi-level density of states   13.36 states/eV per cell
E   -3.542 eV per atom


InBBr4: relaxed, PBE-GGA.

Cell: 6.5420 6.5420 11.1091 Å, 90.00 90.00 60.44°
With the nearest neighbours (Å) after each atom.
Sites, in units of the cell vectors:
Br: 0.5979 0.8244 0.1000  1 B 2.04
Br: 0.1756 0.4021 0.6000  1 B 2.04
Br: 0.5979 0.8244 0.4000  1 B 2.04
Br: 0.1756 0.4021 0.9000  1 B 2.04
Br: 0.6745 0.0879 0.7500  1 B 2.03
Br: 0.4128 0.6728 0.7500  1 B 2.04
Br: 0.9120 0.3255 0.2500  1 B 2.03
Br: 0.3272 0.5872 0.2500  1 B 2.04
B: 0.3605 0.3901 0.7500  4 Br 2.03-2.04
B: 0.6099 0.6395 0.2500  4 Br 2.03-2.04
In: 0.0780 0.9220 0.0000  8 Br 3.33-3.67
In: 0.0780 0.9220 0.5000  8 Br 3.33-3.67

Output
Formation energy without anion corrections   -0.549 eV per atom
Fermi-level density of states   0.00 states/eV per cell
E   -3.234 eV per atom


Y2OsPb: relaxed, PBE-GGA.

Cell: 4.6023 3.8190 5.9329 Å, 71.07 90.00 90.00°
With the nearest neighbours (Å) after each atom.
Sites, in units of the cell vectors:
Pb: 0.5000 0.5507 0.7719  2 Os 2.90, 7 Y 3.10-3.17
Y: 0.5000 0.2703 0.3362  4 Os 3.06-3.07, 3 Pb 3.10-3.17
Y: 0.0000 0.9682 0.9359  1 Os 2.92, 4 Pb 3.13
Os: 0.0000 0.7107 0.4560  2 Pb 2.90, 5 Y 2.92-3.07

Output
Fermi-level density of states   2.85 states/eV per cell
E   -7.112 eV per atom


Ca3CuP: relaxed, PBE-GGA.

Cell: 5.4486 5.4486 5.4486 Å, 90.00 90.00 90.00°
With the nearest neighbours (Å) after each atom.
Sites, in units of the cell vectors:
Ca: 0.0000 0.0000 0.5000  2 P 2.72
Ca: 0.0000 0.5000 0.0000  2 P 2.72
Ca: 0.5000 0.0000 0.0000  2 P 2.72
Cu: 0.5000 0.5000 0.5000  12 Ca 3.85
P: 0.0000 0.0000 0.0000  6 Ca 2.72

Output
Fermi-level density of states   3.02 states/eV per cell
E   -3.414 eV per atom


Y2SnHPt6: relaxed, PBE-GGA.

Cell: 5.6749 7.2068 5.6758 Å, 66.60 60.01 90.00°
With the nearest neighbours (Å) after each atom.
Sites, in units of the cell vectors:
Y: 0.7808 0.3379 0.4383  6 Pt 3.00-3.01
Y: 0.2192 0.6621 0.5617  6 Pt 3.00-3.01
Sn: 0.5000 0.5000 0.0000  6 Pt 2.61-2.62
Pt: 0.2686 0.8156 0.9607  1 H 2.01
Pt: 0.7707 0.8155 0.9608  1 H 2.01
Pt: 0.7723 0.8202 0.4556  1 H 2.01
Pt: 0.2293 0.1845 0.0392  1 H 2.01
Pt: 0.2277 0.1798 0.5444  1 H 2.01
Pt: 0.7314 0.1844 0.0393  1 H 2.01
H: 0.0000 0.0000 0.0000  6 Pt 2.01

Output
Fermi-level density of states   3.49 states/eV per cell
E   -6.394 eV per atom